Run i
Here is a PBEsol-optimized structure of SrZrIr2 from the Alexandria database. Energies are from meta-GGA SCAN.

The value obtained for the magnetization is 0.000 μB/atom.

It has space group Pmm2 (No. 25), with a = 3.1218 Å, b = 4.2345 Å, c = 6.4372 Å, α = 90.00°, β = 90.00° and γ = 90.00°. Symmetry generates all atoms from Sr at (0.0000, 0.0000, 0.0000), Zr at (0.5000, 0.5000, 0.4014), Ir at (0.0000, 0.0000, 0.5078) and Ir at (0.5000, 0.5000, 0.7773).

---

Run ii
Here is a PBEsol-optimized structure of SrZrIr2 from the Alexandria database. Energies are from meta-GGA SCAN.

The value obtained for the magnetization is 0.000 μB/atom.

It has space group P4/mmm (No. 123), with a = 3.2422 Å, b = 3.2422 Å, c = 7.4693 Å, α = 90.00°, β = 90.00° and γ = 90.00°. Symmetry generates all atoms from Sr at (0.0000, 0.0000, 0.0000), Zr at (0.0000, 0.0000, 0.5000) and Ir at (0.5000, 0.5000, 0.2951).

---

The structure with the least stability is run i.

---

Run i
Here is a PBEsol-optimized structure of Ta2Ir3 from the Alexandria database. Energies are from meta-GGA SCAN.

The value obtained for the magnetization is 0.000 μB/atom.

It has space group Fdd2 (No. 43), with a = 9.4160 Å, b = 13.2937 Å, c = 4.9509 Å, α = 90.00°, β = 90.00° and γ = 90.00°. Symmetry generates all atoms from Ta at (0.0383, 0.3024, 0.0000), Ir at (0.0000, 0.0000, 0.4314) and Ir at (0.0540, 0.4000, 0.4656).

---

Run ii
Here is a PBEsol-optimized structure of Ta2Ir3 from the Alexandria database. Energies are from meta-GGA SCAN.

The value obtained for the magnetization is 0.000 μB/atom.

It has space group P-3m1 (No. 164), with a = 4.2888 Å, b = 4.2888 Å, c = 5.4014 Å, α = 90.00°, β = 90.00° and γ = 120.00°. Symmetry generates all atoms from Ta at (0.3333, 0.6667, 0.3127), Ir at (0.0000, 0.0000, 0.5000) and Ir at (0.3333, 0.6667, 0.8408).

---

The structure with the least stability is run ii.

---

Run i
Here is a PBEsol-optimized structure of TaTe2Ir from the Alexandria database. Energies are from meta-GGA SCAN.

The value obtained for the magnetization is 0.000 μB/atom.

It has space group C2/m (No. 12), with a = 8.7772 Å, b = 3.2521 Å, c = 5.5277 Å, α = 90.00°, β = 98.34° and γ = 90.00°. Symmetry generates all atoms from Ta at (0.0000, 0.0000, 0.0000), Te at (0.2313, 0.5000, 0.2413) and Ir at (0.0000, 0.5000, 0.5000).

---

Run ii
Here is a PBEsol-optimized structure of TaTe2Ir from the Alexandria database. Energies are from meta-GGA SCAN.

The value obtained for the magnetization is 0.000 μB/atom.

It has space group P4mm (No. 99), with a = 3.0606 Å, b = 3.0606 Å, c = 9.3243 Å, α = 90.00°, β = 90.00° and γ = 90.00°. Symmetry generates all atoms from Ta at (0.0000, 0.0000, 0.0000), Te at (0.0000, 0.0000, 0.5964), Te at (0.5000, 0.5000, 0.2161) and Ir at (0.5000, 0.5000, 0.8263).

---

The structure with the least stability is run i.